No. 1
Entry from Alexandria via LeMat-Bulk: an optimized crystal structure of LiTb2Sc3Se6 (GGA-PBE).

Structure (POSCAR):
```
LiTb2Sc3Se6
1.0
-2.676 -6.206 1.038
5.569 1.950 3.455
-4.728 3.834 3.192
Se Tb Li Sc
6 2 1 3
direct
0.409 0.086 0.260
0.765 0.765 0.258
0.591 0.914 0.740
0.914 0.591 0.740
0.235 0.235 0.742
0.086 0.409 0.260
0.335 0.665 0.000
0.665 0.335 0.000
0.000 0.000 0.000
0.832 0.168 0.500
0.168 0.832 0.500
0.500 0.500 0.500
```

Calculated values
Formation energy without anion corrections (meV per atom): -1671
Density of states at the Fermi level (states/eV per cell): 6.16
SG: C2/m

---

No. 2
Entry from Alexandria via LeMat-Bulk: an optimized crystal structure of Pm3Nd2Er5 (GGA-PBE).

Structure (POSCAR):
```
Pm3Nd2Er5
1.0
8.397 1.529 -3.890
0.304 8.471 -3.984
-1.714 -1.833 10.872
Pm Er Nd
6 10 4
direct
0.724 0.484 0.256
0.229 0.979 0.957
0.032 0.771 0.256
0.771 0.021 0.043
0.968 0.229 0.744
0.276 0.516 0.744
0.973 0.223 0.446
0.123 0.377 0.268
0.476 0.726 0.451
0.027 0.777 0.554
0.730 0.480 0.960
0.524 0.274 0.549
0.355 0.109 0.732
0.270 0.520 0.040
0.877 0.623 0.732
0.645 0.891 0.268
0.521 0.281 0.254
0.233 0.973 0.254
0.479 0.719 0.746
0.767 0.027 0.746
```

Calculated values
Polymorph energy (0 for the lowest one) (meV/atom): 0
Density of states at the Fermi level (states/eV per cell): 32.16
SG: C2/c

---

No. 3
Entry from Alexandria via LeMat-Bulk: an optimized crystal structure of La2ScNiSn (GGA-PBE).

Structure (POSCAR):
```
La2ScNiSn
1.0
-5.962 0.371 -0.808
-0.025 -4.876 -2.052
-0.888 -2.309 5.497
Sn Sc La Ni
1 1 2 1
direct
0.000 0.000 0.000
0.000 0.500 0.000
0.000 0.000 0.500
0.500 0.000 0.000
0.500 0.500 0.500
```

Calculated values
Total energy (eV/atom): -4.575
Density of states at the Fermi level (states/eV per cell): 6.38
SG: P4/mmm

---

Copy entry 2 word for word.
Entry from Alexandria via LeMat-Bulk: an optimized crystal structure of Pm3Nd2Er5 (GGA-PBE).

Structure (POSCAR):
```
Pm3Nd2Er5
1.0
8.397 1.529 -3.890
0.304 8.471 -3.984
-1.714 -1.833 10.872
Pm Er Nd
6 10 4
direct
0.724 0.484 0.256
0.229 0.979 0.957
0.032 0.771 0.256
0.771 0.021 0.043
0.968 0.229 0.744
0.276 0.516 0.744
0.973 0.223 0.446
0.123 0.377 0.268
0.476 0.726 0.451
0.027 0.777 0.554
0.730 0.480 0.960
0.524 0.274 0.549
0.355 0.109 0.732
0.270 0.520 0.040
0.877 0.623 0.732
0.645 0.891 0.268
0.521 0.281 0.254
0.233 0.973 0.254
0.479 0.719 0.746
0.767 0.027 0.746
```

Calculated values
Polymorph energy (0 for the lowest one) (meV/atom): 0
Density of states at the Fermi level (states/eV per cell): 32.16
SG: C2/c

---

> The lowest density of states at the Fermi level belongs to which entry?

LiTb2Sc3Se6